1.
A plane-wave DFT calculation with GGA-PBE was carried out for a relaxed GaHCO crystal. Values from VASP.

Output
N(E_F)	0.19	states/eV per atom
SG	Pmm2 (25)
raw total energy	-0.3754	Ry per atom
magnetization	0.000	μB per formula unit

Structure (Quantum ESPRESSO input):
```
&SYSTEM
  ibrav = 0, nat = 4, ntyp = 4
/
ATOMIC_SPECIES
Ga 69.72 Ga.upf
H 1.01 H.upf
C 12.01 C.upf
O 16.00 O.upf
CELL_PARAMETERS angstrom
-3.099 0.943 0.073
-0.947 -2.963 -1.938
-0.595 -2.243 3.721
ATOMIC_POSITIONS crystal
Ga 0.000 0.500 0.630
H 0.500 0.500 0.790
C 0.000 0.000 0.378
O 0.000 0.000 0.100
```



2.
A plane-wave DFT calculation with GGA-PBE was carried out for a relaxed GaHCO crystal. Values from VASP.

Output
SG	P1 (1)
raw total energy	-0.3835	Ry per atom
magnetization	0.000	μB per formula unit

Structure (Quantum ESPRESSO input):
```
&SYSTEM
  ibrav = 0, nat = 4, ntyp = 4
/
ATOMIC_SPECIES
Ga 69.72 Ga.upf
H 1.01 H.upf
C 12.01 C.upf
O 16.00 O.upf
CELL_PARAMETERS angstrom
2.712 0.003 -0.013
0.210 4.071 0.006
0.234 1.850 5.420
ATOMIC_POSITIONS crystal
Ga 0.854 0.471 0.510
H 0.079 0.907 0.055
C 0.967 0.936 0.238
O 0.957 0.244 0.239
```



3.
A plane-wave DFT calculation with GGA-PBE was carried out for a relaxed Ga2TeHC crystal. Values from VASP.

Output
N(E_F)	0.54	states/eV per atom
SG	P4/mmm (123)
raw total energy	-0.2011	Ry per atom
magnetization	0.000	μB per formula unit

Structure (Quantum ESPRESSO input):
```
&SYSTEM
  ibrav = 0, nat = 5, ntyp = 4
/
ATOMIC_SPECIES
H 1.01 H.upf
C 12.01 C.upf
Te 127.60 Te.upf
Ga 69.72 Ga.upf
CELL_PARAMETERS angstrom
-4.318 -3.144 0.284
2.149 -2.922 0.325
-0.052 0.553 5.320
ATOMIC_POSITIONS crystal
H 0.000 0.500 0.000
C 0.500 0.500 0.500
Te 0.000 0.000 0.000
Ga 0.000 0.000 0.500
Ga 0.500 0.000 0.000
```



4.
A plane-wave DFT calculation with GGA-PBE was carried out for a relaxed Hf6GaC2 crystal. Values from VASP.

Output
N(E_F)	0.71	states/eV per atom
SG	C2/m (12)
raw total energy	-0.6826	Ry per atom
formation energy from the elements	-25.58	kJ per mole of atoms
magnetization	0.000	μB per formula unit

Structure (Quantum ESPRESSO input):
```
&SYSTEM
  ibrav = 0, nat = 9, ntyp = 3
/
ATOMIC_SPECIES
Hf 178.49 Hf.upf
Ga 69.72 Ga.upf
C 12.01 C.upf
CELL_PARAMETERS angstrom
4.475 0.000 0.000
2.238 5.531 -0.276
2.238 1.984 6.678
ATOMIC_POSITIONS crystal
Hf 0.693 0.697 0.917
Hf 0.307 0.303 0.083
Hf 0.972 0.861 0.194
Hf 0.337 0.766 0.560
Hf 0.028 0.139 0.806
Hf 0.663 0.234 0.440
Ga 0.000 0.500 0.500
C 0.185 0.718 0.913
C 0.815 0.282 0.087
```



5.
A plane-wave DFT calculation with GGA-PBE was carried out for a relaxed Hf2GaC crystal. Values from VASP.

Output
N(E_F)	0.99	states/eV per atom
SG	Fm-3m (225)
raw total energy	-0.5515	Ry per atom
formation energy from the elements	51.71	kJ per mole of atoms
magnetization	0.000	μB per formula unit

Structure (Quantum ESPRESSO input):
```
&SYSTEM
  ibrav = 0, nat = 4, ntyp = 3
/
ATOMIC_SPECIES
C 12.01 C.upf
Hf 178.49 Hf.upf
Ga 69.72 Ga.upf
CELL_PARAMETERS angstrom
0.000 3.163 3.163
3.163 0.000 3.163
3.163 3.163 0.000
ATOMIC_POSITIONS crystal
C 0.000 0.000 0.000
Hf 0.250 0.250 0.250
Hf 0.750 0.750 0.750
Ga 0.500 0.500 0.500
```



6.
A plane-wave DFT calculation with GGA-PBE was carried out for a relaxed Hf6Ga5C crystal. Values from VASP.

Output
N(E_F)	0.64	states/eV per atom
SG	C2/m (12)
raw total energy	-0.5459	Ry per atom
formation energy from the elements	-40.64	kJ per mole of atoms
magnetization	0.000	μB per formula unit

Structure (Quantum ESPRESSO input):
```
&SYSTEM
  ibrav = 0, nat = 12, ntyp = 3
/
ATOMIC_SPECIES
Hf 178.49 Hf.upf
Ga 69.72 Ga.upf
C 12.01 C.upf
CELL_PARAMETERS angstrom
-4.348 -0.548 -4.122
-4.107 -5.710 2.513
-4.924 0.355 3.858
ATOMIC_POSITIONS crystal
Hf 0.803 0.041 0.307
Hf 0.197 0.652 0.307
Hf 0.286 0.168 0.000
Hf 0.714 0.832 0.000
Hf 0.803 0.348 0.693
Hf 0.197 0.959 0.693
Ga 0.500 0.233 0.533
Ga 0.000 0.377 0.247
Ga 0.500 0.500 0.000
Ga 0.000 0.623 0.753
Ga 0.500 0.767 0.467
C 0.000 0.000 0.000
```



7.
A plane-wave DFT calculation with GGA-PBE was carried out for a relaxed Hf12Ga5C2 crystal. Values from VASP.

Output
N(E_F)	0.89	states/eV per atom
SG	C2/m (12)
raw total energy	-0.6054	Ry per atom
formation energy from the elements	-17.62	kJ per mole of atoms
magnetization	0.001	μB per formula unit

Structure (Quantum ESPRESSO input):
```
&SYSTEM
  ibrav = 0, nat = 19, ntyp = 3
/
ATOMIC_SPECIES
Hf 178.49 Hf.upf
Ga 69.72 Ga.upf
C 12.01 C.upf
CELL_PARAMETERS angstrom
-3.269 -0.588 5.847
-4.393 -2.361 -6.560
4.582 -6.381 1.920
ATOMIC_POSITIONS crystal
Hf 0.998 0.996 0.177
Hf 0.083 0.689 0.913
Hf 0.606 0.689 0.913
Hf 0.116 0.716 0.436
Hf 0.600 0.716 0.436
Hf 0.495 0.991 0.799
Hf 0.505 0.009 0.201
Hf 0.884 0.284 0.564
Hf 0.400 0.284 0.564
Hf 0.917 0.311 0.087
Hf 0.394 0.311 0.087
Hf 0.002 0.004 0.823
Ga 0.295 0.590 0.645
Ga 0.316 0.633 0.154
Ga 0.000 0.000 0.500
Ga 0.684 0.367 0.846
Ga 0.705 0.410 0.355
C 0.739 0.000 0.000
C 0.261 0.000 0.000
```



8.
A plane-wave DFT calculation with GGA-PBE was carried out for a relaxed Hf5Ga2C crystal. Values from VASP.

Output
N(E_F)	0.88	states/eV per atom
SG	Cmcm (63)
raw total energy	-0.5953	Ry per atom
formation energy from the elements	3.00	kJ per mole of atoms
magnetization	0.000	μB per formula unit

Structure (Quantum ESPRESSO input):
```
&SYSTEM
  ibrav = 0, nat = 16, ntyp = 3
/
ATOMIC_SPECIES
Hf 178.49 Hf.upf
Ga 69.72 Ga.upf
C 12.01 C.upf
CELL_PARAMETERS angstrom
-0.533 4.335 0.557
-4.620 -3.435 4.909
7.984 0.015 7.525
ATOMIC_POSITIONS crystal
Hf 0.901 0.802 0.894
Hf 0.901 0.802 0.606
Hf 0.303 0.607 0.429
Hf 0.303 0.607 0.071
Hf 0.718 0.436 0.250
Hf 0.282 0.564 0.750
Hf 0.697 0.393 0.571
Hf 0.697 0.393 0.929
Hf 0.099 0.198 0.106
Hf 0.099 0.198 0.394
Ga 0.912 0.824 0.357
Ga 0.912 0.824 0.143
Ga 0.088 0.176 0.643
Ga 0.088 0.176 0.857
C 0.794 0.587 0.750
C 0.206 0.413 0.250
```